# Nd3Al3Cu

Nd3Al3Cu after structural relaxation (PBE-GGA, the Alexandria database).

Cell: 4.5926 5.9246 13.9880 Å, 86.89 80.55 67.20°
Fractional positions:
Al 0.1101 0.8576 0.9223
Al 0.0598 0.1207 0.7596
Al 0.8617 0.7392 0.5375
Al 0.1383 0.2608 0.4625
Al 0.9402 0.8793 0.2404
Al 0.8899 0.1424 0.0777
Nd 0.2414 0.2862 0.2310
Nd 0.5342 0.3126 0.6190
Nd 0.7586 0.7138 0.7690
Nd 0.4023 0.2762 0.9191
Nd 0.5977 0.7238 0.0809
Nd 0.4658 0.6874 0.3810
Cu 0.2529 0.8981 0.5961
Cu 0.7471 0.1019 0.4039

Summary:
The calculation puts the energy relative to the elements at -0.341 eV/atom. As for the space group: C2/m, No. 12. As for the spin magnetization: 0.00 μB/cell.

---

# WSeCl

WSeCl after structural relaxation (PBE-GGA, the Alexandria database).

Cell: 4.5786 4.5786 4.5786 Å, 60.00 60.00 60.00°
Last column: magnetic moment on the atom in μB.
Fractional positions:
Se 0.7500 0.7500 0.7500  -0.21
W 0.0000 0.0000 0.0000  2.50
Cl 0.5000 0.5000 0.5000  0.03

Summary:
Its formation energy (no corrections) is 1241 meV/atom. The calculation puts the relative energy among the computed polymorphs at 1725 meV/atom. As for the space group: F-43m, No. 216. As for the spin magnetization: 3.00 μB/cell.

---

# Er12InPd5

Er12InPd5 after structural relaxation (PBE-GGA, the Alexandria database).

Cell: 8.4295 8.4295 8.4295 Å, 105.48 112.10 110.91°
Fractional positions:
Er 0.2987 0.3263 0.6250
Er 0.1905 0.4183 0.2278
Er 0.7013 0.3263 0.0276
Er 0.8095 0.5817 0.7722
Er 0.8095 0.0374 0.2278
Er 0.1042 0.8189 0.2852
Er 0.8958 0.1811 0.7148
Er 0.4663 0.1811 0.2852
Er 0.5337 0.8189 0.7148
Er 0.2987 0.6737 0.9724
Er 0.7013 0.6737 0.3750
Er 0.1905 0.9626 0.7722
Pd 0.3475 0.3475 0.0000
Pd 0.5000 0.1336 0.6336
Pd 0.5000 0.8664 0.3664
Pd 0.6525 0.6525 0.0000
Pd 0.0000 0.0000 0.0000
In 0.0000 0.5000 0.5000

Summary:
The calculation puts the energy relative to the elements at -0.601 eV/atom. As for the space group: Immm, No. 71. As for the spin magnetization: 0.00 μB/cell.

---

# Ca2PtO6

Ca2PtO6 after structural relaxation (PBE-GGA, the Alexandria database).

Cell: 3.5590 5.6750 6.3857 Å, 116.38 103.06 90.00°
Last column: magnetic moment on the atom in μB.
Fractional positions:
O 0.5000 0.2047 0.0000  0.27
O 0.8518 0.0808 0.7105  0.27
O 0.1482 0.9192 0.2895  0.27
O 0.1482 0.3704 0.2895  0.27
O 0.8518 0.6296 0.7105  0.27
O 0.5000 0.7953 0.0000  0.27
Ca 0.3293 0.3285 0.6570  0.00
Ca 0.6707 0.6715 0.3430  0.00
Pt 0.0000 0.0000 0.0000  -0.04

Summary:
Its formation energy (no corrections) is -1176 meV/atom. As for the space group: C2/m, No. 12. As for the spin magnetization: 1.84 μB/cell.

---

# La3Nd6Sm2Tl

La3Nd6Sm2Tl after structural relaxation (PBE-GGA, the Alexandria database).

Cell: 6.3144 6.3144 12.0574 Å, 95.12 95.12 120.18°
Fractional positions:
Nd 0.4053 0.0799 0.2438
Nd 0.9201 0.5947 0.7562
Nd 0.5947 0.9201 0.7562
Nd 0.0799 0.4053 0.2438
Nd 0.2447 0.2447 0.7539
Nd 0.7553 0.7553 0.2461
Sm 0.6660 0.3340 0.0000
Sm 0.3340 0.6660 0.0000
La 0.5000 0.5000 0.5000
La 0.8291 0.1709 0.5000
La 0.1709 0.8291 0.5000
Tl 0.0000 0.0000 0.0000

Summary:
The calculation puts the energy relative to the elements at -0.021 eV/atom. As for the space group: C2/m, No. 12. As for the spin magnetization: 0.00 μB/cell.

---

# Th6Te3Rh2C

Th6Te3Rh2C after structural relaxation (PBE-GGA, the Alexandria database).

Cell: 7.1377 7.1377 7.8704 Å, 98.59 98.59 119.86°
Fractional positions:
Th 0.7548 0.7548 0.2046
Th 0.6205 0.9340 0.8038
Th 0.2452 0.2452 0.7954
Th 0.9340 0.6205 0.8038
Th 0.3795 0.0660 0.1962
Th 0.0660 0.3795 0.1962
Te 0.1731 0.8269 0.5000
Te 0.8269 0.1731 0.5000
Te 0.5000 0.5000 0.5000
Rh 0.6650 0.3350 0.0000
Rh 0.3350 0.6650 0.0000
C 0.0000 0.0000 0.0000

Summary:
Its formation energy (no corrections) is -896 meV/atom. As for the space group: C2/m, No. 12. As for the spin magnetization: 0.00 μB/cell.

---

> Which formula does entry 1 have?

Nd3Al3Cu

---

> Number 3 is which compound?

Er12InPd5